No. 1
Material: Hf2PaO8
Method: DFT, PBE
State: optimized geometry

Geometry as CIF:
```
data_Hf2PaO8
_cell_length_a 13.3656
_cell_length_b 3.6561
_cell_length_c 5.7116
_cell_angle_alpha 90.00
_cell_angle_beta 97.78
_cell_angle_gamma 90.00
_space_group_name_H-M_alt 'C 1 2/m 1'
_space_group_IT_number 12
_space_group_name_Hall '-C 2y'
loop_
_atom_site_label
_atom_site_fract_x
_atom_site_fract_y
_atom_site_fract_z
Hf1 0.2248 0.0000 0.2517
Pa1 0.0000 0.5000 0.0000
O1 0.0399 0.5000 0.5828
O2 0.0680 0.0000 0.1848
O3 0.1687 0.5000 0.9857
O4 0.2193 0.0000 0.6166
```

No. 2
Material: HfPa2O6
Method: DFT, PBE
State: optimized geometry

Geometry as CIF:
```
data_HfPa2O6
_cell_length_a 5.4227
_cell_length_b 5.7914
_cell_length_c 9.4009
_cell_angle_alpha 90.00
_cell_angle_beta 90.00
_cell_angle_gamma 90.00
_space_group_name_H-M_alt 'P n n m'
_space_group_IT_number 58
_space_group_name_Hall '-P 2 2n'
loop_
_atom_site_label
_atom_site_fract_x
_atom_site_fract_y
_atom_site_fract_z
Hf1 0.0000 0.0000 0.0000
Pa1 0.0000 0.5000 0.1944
O1 0.1724 0.3237 0.0000
O2 0.2124 0.8430 0.1620
```

DOS at the Fermi energy: 0.581 states/eV/atom

No. 3
Material: HfPa4O10
Method: DFT, PBE
State: optimized geometry

Geometry as CIF:
```
data_HfPa4O10
_cell_length_a 3.8234
_cell_length_b 3.8234
_cell_length_c 46.3569
_cell_angle_alpha 90.00
_cell_angle_beta 90.00
_cell_angle_gamma 120.00
_space_group_name_H-M_alt 'R -3 m'
_space_group_IT_number 166
_space_group_name_Hall '-R 3 2"'
loop_
_atom_site_label
_atom_site_fract_x
_atom_site_fract_y
_atom_site_fract_z
Hf1 0.0000 0.0000 0.0000
Pa1 0.0000 0.0000 0.2009
Pa2 0.0000 0.0000 0.3978
O1 0.0000 0.0000 0.0458
O2 0.0000 0.0000 0.1499
O3 0.0000 0.0000 0.2533
O4 0.0000 0.0000 0.3472
O5 0.0000 0.0000 0.4485
```

DOS at the Fermi energy: 0.804 states/eV/atom

No. 4
Material: Hf2PaO
Method: DFT, PBE
State: optimized geometry

Geometry as CIF:
```
data_Hf2PaO
_cell_length_a 2.9343
_cell_length_b 2.9343
_cell_length_c 8.3026
_cell_angle_alpha 90.00
_cell_angle_beta 90.00
_cell_angle_gamma 90.00
_space_group_name_H-M_alt 'P 4/m m m'
_space_group_IT_number 123
_space_group_name_Hall '-P 4 2'
loop_
_atom_site_label
_atom_site_fract_x
_atom_site_fract_y
_atom_site_fract_z
Hf1 0.0000 0.0000 0.1848
Pa1 0.5000 0.5000 0.5000
O1 0.5000 0.5000 0.0000
```

DOS at the Fermi energy: 1.138 states/eV/atom
distance to the lowest polymorph of the same formula: 196.2 meV per atom

No. 5
Material: PmHfPaO6
Method: DFT, PBE
State: optimized geometry

Geometry as CIF:
```
data_PmHfPaO6
_cell_length_a 5.7029
_cell_length_b 5.7029
_cell_length_c 9.7322
_cell_angle_alpha 90.00
_cell_angle_beta 90.00
_cell_angle_gamma 120.00
_space_group_name_H-M_alt 'P -3 1 c'
_space_group_IT_number 163
_space_group_name_Hall '-P 3 2c'
loop_
_atom_site_label
_atom_site_fract_x
_atom_site_fract_y
_atom_site_fract_z
Pm1 0.0000 0.0000 0.0000
Hf1 0.3333 0.6667 0.2500
Pa1 0.3333 0.6667 0.7500
O1 0.0121 0.3588 0.1381
```

DOS at the Fermi energy: 0.000 states/eV/atom

No. 6
Material: Rb2Hf3PaO12
Method: DFT, PBE
State: optimized geometry

Geometry as CIF:
```
data_Rb2Hf3PaO12
_cell_length_a 7.7647
_cell_length_b 7.7647
_cell_length_c 19.1528
_cell_angle_alpha 90.00
_cell_angle_beta 90.00
_cell_angle_gamma 120.00
_space_group_name_H-M_alt 'R -3 m'
_space_group_IT_number 166
_space_group_name_Hall '-R 3 2"'
loop_
_atom_site_label
_atom_site_fract_x
_atom_site_fract_y
_atom_site_fract_z
Rb1 0.0000 0.0000 0.1235
Hf1 0.0000 0.5000 0.0000
Pa1 0.0000 0.0000 0.5000
O1 0.0678 0.5339 0.1065
O2 0.0804 0.5402 0.3531
```

DOS at the Fermi energy: 0.553 states/eV/atom

No. 7
Material: Rb2HfPaO6
Method: DFT, PBE
State: optimized geometry

Geometry as CIF:
```
data_Rb2HfPaO6
_cell_length_a 8.6104
_cell_length_b 8.6104
_cell_length_c 8.6104
_cell_angle_alpha 90.00
_cell_angle_beta 90.00
_cell_angle_gamma 90.00
_space_group_name_H-M_alt 'F m -3 m'
_space_group_IT_number 225
_space_group_name_Hall '-F 4 2 3'
loop_
_atom_site_label
_atom_site_fract_x
_atom_site_fract_y
_atom_site_fract_z
Rb1 0.2500 0.2500 0.2500
Hf1 0.0000 0.0000 0.0000
Pa1 0.0000 0.0000 0.5000
O1 0.0000 0.0000 0.2452
```

DOS at the Fermi energy: 0.681 states/eV/atom

No. 8
Material: Rb2HfPa3O12
Method: DFT, PBE
State: optimized geometry

Geometry as CIF:
```
data_Rb2HfPa3O12
_cell_length_a 8.1482
_cell_length_b 8.1482
_cell_length_c 19.0734
_cell_angle_alpha 90.00
_cell_angle_beta 90.00
_cell_angle_gamma 120.00
_space_group_name_H-M_alt 'R -3 m'
_space_group_IT_number 166
_space_group_name_Hall '-R 3 2"'
loop_
_atom_site_label
_atom_site_fract_x
_atom_site_fract_y
_atom_site_fract_z
Rb1 0.0000 0.0000 0.1544
Hf1 0.0000 0.0000 0.5000
Pa1 0.0000 0.5000 0.0000
O1 0.0904 0.5452 0.1052
O2 0.0897 0.5449 0.3608
```

DOS at the Fermi energy: 0.758 states/eV/atom

No. 9
Material: HfPaRhO6
Method: DFT, PBE
State: optimized geometry

Geometry as CIF:
```
data_HfPaRhO6
_cell_length_a 4.9237
_cell_length_b 4.9237
_cell_length_c 9.7991
_cell_angle_alpha 90.00
_cell_angle_beta 90.00
_cell_angle_gamma 90.00
_space_group_name_H-M_alt 'P 42 n m'
_space_group_IT_number 102
_space_group_name_Hall 'P 4n -2n'
loop_
_atom_site_label
_atom_site_fract_x
_atom_site_fract_y
_atom_site_fract_z
Hf1 0.0000 0.0000 0.0000
Pa1 0.0000 0.0000 0.3373
Rh1 0.0000 0.0000 0.6664
O1 0.1859 0.1859 0.8329
O2 0.1980 0.1980 0.1619
O3 0.1999 0.1999 0.5083
```

No. 10
Material: HfScPaO6
Method: DFT, PBE
State: optimized geometry

Geometry as CIF:
```
data_HfScPaO6
_cell_length_a 5.3878
_cell_length_b 5.3878
_cell_length_c 9.5637
_cell_angle_alpha 90.00
_cell_angle_beta 90.00
_cell_angle_gamma 120.00
_space_group_name_H-M_alt 'P -3 1 c'
_space_group_IT_number 163
_space_group_name_Hall '-P 3 2c'
loop_
_atom_site_label
_atom_site_fract_x
_atom_site_fract_y
_atom_site_fract_z
Hf1 0.3333 0.6667 0.2500
Sc1 0.3333 0.6667 0.7500
Pa1 0.0000 0.0000 0.0000
O1 0.0052 0.3394 0.1327
```

DOS at the Fermi energy: 0.000 states/eV/atom

No. 11
Material: HfPaSnO6
Method: DFT, PBE
State: optimized geometry

Geometry as CIF:
```
data_HfPaSnO6
_cell_length_a 5.6909
_cell_length_b 5.6909
_cell_length_c 9.2677
_cell_angle_alpha 90.00
_cell_angle_beta 90.00
_cell_angle_gamma 120.00
_space_group_name_H-M_alt 'P -3 1 c'
_space_group_IT_number 163
_space_group_name_Hall '-P 3 2c'
loop_
_atom_site_label
_atom_site_fract_x
_atom_site_fract_y
_atom_site_fract_z
Hf1 0.3333 0.6667 0.2500
Pa1 0.3333 0.6667 0.7500
Sn1 0.0000 0.0000 0.0000
O1 0.0123 0.3541 0.1340
```

DOS at the Fermi energy: 0.477 states/eV/atom

No. 12
Material: TbHfPaO6
Method: DFT, PBE
State: optimized geometry

Geometry as CIF:
```
data_TbHfPaO6
_cell_length_a 5.6004
_cell_length_b 5.6004
_cell_length_c 9.4579
_cell_angle_alpha 90.00
_cell_angle_beta 90.00
_cell_angle_gamma 120.00
_space_group_name_H-M_alt 'P -3 1 c'
_space_group_IT_number 163
_space_group_name_Hall '-P 3 2c'
loop_
_atom_site_label
_atom_site_fract_x
_atom_site_fract_y
_atom_site_fract_z
Tb1 0.3333 0.6667 0.2500
Hf1 0.3333 0.6667 0.7500
Pa1 0.0000 0.0000 0.0000
O1 0.0270 0.3423 0.6300
```

DOS at the Fermi energy: 0.000 states/eV/atom

no.,formation energy without anion corrections (eV per atom),size of the total moment (μB/atom),energy (eV/atom)
1,-2.939,0.09,-9.22
2,-3.382,0.22,-9.90
3,-3.516,0.02,-10.02
4,-0.621,0.00,-9.21
5,-3.505,0.00,-9.50
6,-2.476,0.28,-8.08
7,-2.796,0.10,-7.91
8,-2.848,0.16,-8.40
9,-2.694,0.00,-8.98
10,-3.523,0.00,-9.69
11,-2.777,0.00,-8.69
12,-3.505,0.00,-9.49